A geometry-optimized Na2ErNpSe4 structure, computed with PBE.

Cell and atoms, written as CIF:
```
data_Na2ErNpSe4
_cell_length_a 7.224
_cell_length_b 4.159
_cell_length_c 7.389
_cell_angle_alpha 90.00
_cell_angle_beta 109.11
_cell_angle_gamma 90.00
_space_group_name_H-M_alt 'P 1 2/m 1'
_space_group_IT_number 10
loop_
_space_group_symop_operation_xyz
'x,y,z'
'-x,-y,-z'
'-x,y,-z'
'x,-y,z'
loop_
_atom_site_label
_atom_site_fract_x
_atom_site_fract_y
_atom_site_fract_z
Na1 0.000 0.000 0.000
Na2 0.500 0.500 0.000
Er1 0.000 0.500 0.500
Np1 0.500 0.000 0.500
Se1 0.238 0.000 0.729
Se2 0.252 0.500 0.270
```

ρ = 6.1 Mg/m³
energy relative to the elements, uncorrected = -1.438 eV/atom
magnetization = 4.00 μB per formula unit
uncorrected energy = -5.698 eV per atom
crystal system = monoclinic